A plane-wave DFT calculation with GGA-PBE was carried out for Ru2WBr2 after structural relaxation.

## Properties
- crystal system = tetragonal
- space-group type = No. 127
- polymorph energy (0 for the lowest one) (meV/atom) = 0

Lattice parameters (Å, degrees): 7.4274 7.4274 2.9790 90.00 90.00 90.00
With the nearest neighbours (Å) after each atom.
Atoms (fractional coordinates):
Ru1 0.1617 0.6617 0.5000  6 Br 2.49-2.74
Ru2 0.6617 0.8383 0.5000  6 Br 2.49-2.74
Ru3 0.8383 0.3383 0.5000  6 Br 2.49-2.74
Ru4 0.3383 0.1617 0.5000  6 Br 2.49-2.74
Br1 0.3519 0.8519 0.0000  6 Ru 2.49-2.74
Br2 0.8519 0.6481 0.0000  6 Ru 2.49-2.74
Br3 0.6481 0.1481 0.0000  6 Ru 2.49-2.74
Br4 0.1481 0.3519 0.0000  6 Ru 2.49-2.74
W1 0.0000 0.0000 0.0000  4 Br 2.84, 2 W 2.98, 8 Ru 3.16
W2 0.5000 0.5000 0.0000  4 Br 2.84, 2 W 2.98, 8 Ru 3.16



A plane-wave DFT calculation with GGA-PBE was carried out for RuWBr2 after structural relaxation.

## Properties
- crystal system = cubic
- space-group type = No. 225
- polymorph energy (0 for the lowest one) (meV/atom) = 1237

Lattice parameters (Å, degrees): 4.5425 4.5425 4.5425 60.00 60.00 60.00
With the nearest neighbours (Å) after each atom.
Atoms (fractional coordinates):
Ru1 0.0000 0.0000 0.0000  8 Br 2.78
Br1 0.2500 0.2500 0.2500  4 W 2.78, 4 Ru 2.78
Br2 0.7500 0.7500 0.7500  4 Ru 2.78, 4 W 2.78
W1 0.5000 0.5000 0.5000  8 Br 2.78



A plane-wave DFT calculation with GGA-PBE was carried out for RuWBr after structural relaxation.

## Properties
- crystal system = trigonal
- space-group type = No. 156
- polymorph energy (0 for the lowest one) (meV/atom) = 1

Lattice parameters (Å, degrees): 2.9998 2.9998 6.4818 90.00 90.00 120.00
With the nearest neighbours (Å) after each atom.
Atoms (fractional coordinates):
Ru1 0.3333 0.6667 0.3566  3 W 2.62
Br1 0.0000 0.0000 0.9837  3 W 2.72, 3 Ru 2.97, 6 Br 3.00
W1 0.6667 0.3333 0.6596  3 Ru 2.62, 3 Br 2.72



A plane-wave DFT calculation with GGA-PBE was carried out for RuWBr2 after structural relaxation.

## Properties
- crystal system = orthorhombic
- space-group type = No. 65
- polymorph energy (0 for the lowest one) (meV/atom) = 1136

Lattice parameters (Å, degrees): 3.1970 3.1970 8.9872 90.00 90.00 124.66
With the nearest neighbours (Å) after each atom.
Atoms (fractional coordinates):
Ru1 0.5000 0.5000 0.2500  4 Br 2.74, 2 Ru 2.97
Br1 0.0000 0.0000 0.9937  2 W 2.65, 2 Ru 2.74
Br2 0.0000 0.0000 0.5063  2 W 2.65, 2 Ru 2.74
W1 0.5000 0.5000 0.7500  4 Br 2.65



A plane-wave DFT calculation with GGA-PBE was carried out for Ru3WBr after structural relaxation.

## Properties
- crystal system = cubic
- space-group type = No. 221
- polymorph energy (0 for the lowest one) (meV/atom) = 197

Lattice parameters (Å, degrees): 4.4769 4.4769 4.4769 90.00 90.00 90.00
With the nearest neighbours (Å) after each atom.
Atoms (fractional coordinates):
Ru1 0.0000 0.5000 0.0000  2 Br 2.24
Ru2 0.0000 0.0000 0.5000  2 Br 2.24
Ru3 0.5000 0.0000 0.0000  2 Br 2.24
Br1 0.0000 0.0000 0.0000  6 Ru 2.24
W1 0.5000 0.5000 0.5000  12 Ru 3.17



A plane-wave DFT calculation with GGA-PBE was carried out for RuWBr2 after structural relaxation.

## Properties
- crystal system = tetragonal
- space-group type = No. 119
- polymorph energy (0 for the lowest one) (meV/atom) = 1150

Lattice parameters (Å, degrees): 4.5323 4.5323 4.5323 110.51 110.51 107.42
With the nearest neighbours (Å) after each atom.
Atoms (fractional coordinates):
Ru1 0.5000 0.5000 0.0000  6 Br 2.68-2.91, 4 W 2.91
Br1 0.0000 0.0000 0.0000  2 Ru 2.68, 4 Br 2.91, 4 W 2.91
Br2 0.7500 0.2500 0.5000  2 W 2.68, 4 Br 2.91, 4 Ru 2.91
W1 0.2500 0.7500 0.5000  6 Br 2.68-2.91, 4 Ru 2.91



For the records above, the corresponding magnetization values read 0.00 0.00 0.00 2.26 0.00 0.63 μB/cell.
For the records above, the corresponding volume values read 164.3 66.3 50.5 75.6 89.7 71.6 Å³ per cell.